Material: BeTeRh2
Method: DFT, PBE
State: relaxed

The calculation puts the uncorrected formation energy at -0.078 eV per atom. The space group is Fm-3m (225).

abc: 4.3749 4.3749 4.3749
angles: 60.00 60.00 60.00
With the nearest neighbours (Å) after each atom.
Fractional coordinates of all 4 atoms:
1 Te 0.5000 0.5000 0.5000  8 Rh 2.68
2 Rh 0.2500 0.2500 0.2500  4 Te 2.68, 4 Be 2.68
3 Rh 0.7500 0.7500 0.7500  4 Be 2.68, 4 Te 2.68
4 Be 0.0000 0.0000 0.0000  8 Rh 2.68